Below is an optimized crystal structure of Ho3Tl2In2, with properties calculated at the PBE level.

## Properties
Electronic total energy ... -3.758 eV/atom
Total magnetization ... 0.00 μB/f.u.
ΔE to the lowest computed polymorph ... 0 meV per atom
ΔE_f ... -2.36 eV per formula unit

Lattice parameters (Å, degrees): 4.605 23.001 3.501 90.00 90.00 90.00
Space group Cmmm (No. 65)
Unique sites:
Ho 0.000 0.000 0.000 x2
Ho 0.000 0.154 0.000 x4
Tl 0.000 0.427 0.500 x4
In 0.000 0.287 0.500 x4